Computed, not measured: crystalline Th2CoNi3P4 at its relaxed geometry at the PBE level of DFT.

Computed properties:
Final energy = -7.095 eV per atom
ΔE_f = -1002 meV/atom

Cell and atoms, written as CIF:
```
data_Th2CoNi3P4
_cell_length_a 4.0953
_cell_length_b 4.0953
_cell_length_c 9.0419
_cell_angle_alpha 90.00
_cell_angle_beta 90.00
_cell_angle_gamma 90.00
_symmetry_space_group_name_H-M 'P -4 m 2'
_symmetry_Int_Tables_number 115
_symmetry_space_group_name_Hall 'P -4 -2'
loop_
_atom_site_label
_atom_site_fract_x
_atom_site_fract_y
_atom_site_fract_z
_atom_site_occupancy
Th1 0.0000 0.5000 0.2472 1
Co1 0.5000 0.5000 0.0000 1
Ni1 0.0000 0.0000 0.0000 1
Ni2 0.0000 0.5000 0.6139 1
P1 0.0000 0.0000 0.5000 1
P2 0.0000 0.5000 0.8740 1
P3 0.5000 0.5000 0.5000 1
```

Computed, not measured: crystalline ThCo2NiP2 at its relaxed geometry at the PBE level of DFT.

Computed properties:
Final energy = -7.204 eV per atom
ΔE_f = -832 meV/atom

Cell and atoms, written as CIF:
```
data_ThCo2NiP2
_cell_length_a 3.9108
_cell_length_b 3.9108
_cell_length_c 6.4851
_cell_angle_alpha 90.00
_cell_angle_beta 90.00
_cell_angle_gamma 120.00
_symmetry_space_group_name_H-M 'P -3 m 1'
_symmetry_Int_Tables_number 164
_symmetry_space_group_name_Hall '-P 3 2"'
loop_
_atom_site_label
_atom_site_fract_x
_atom_site_fract_y
_atom_site_fract_z
_atom_site_occupancy
Th1 0.0000 0.0000 0.0000 1
Co1 0.3333 0.6667 0.6569 1
Ni1 0.0000 0.0000 0.5000 1
P1 0.3333 0.6667 0.2998 1
```

Computed, not measured: crystalline Th2CoNi12P3 at its relaxed geometry at the PBE level of DFT.

Computed properties:
Final energy = -6.040 eV per atom
ΔE_f = -65 meV/atom

Cell and atoms, written as CIF:
```
data_Th2CoNi12P3
_cell_length_a 7.5653
_cell_length_b 7.5653
_cell_length_c 16.8506
_cell_angle_alpha 90.00
_cell_angle_beta 90.00
_cell_angle_gamma 120.00
_symmetry_space_group_name_H-M 'R -3 m'
_symmetry_Int_Tables_number 166
_symmetry_space_group_name_Hall '-R 3 2"'
loop_
_atom_site_label
_atom_site_fract_x
_atom_site_fract_y
_atom_site_fract_z
_atom_site_occupancy
Th1 0.0000 0.0000 0.1191 1
Co1 0.0000 0.0000 0.5000 1
Ni1 0.0045 0.5022 0.1255 1
Ni2 0.0303 0.5151 0.3627 1
P1 0.0000 0.5000 0.0000 1
```

Computed, not measured: crystalline ThCoNi2P2 at its relaxed geometry at the PBE level of DFT.

Computed properties:
Final energy = -6.511 eV per atom
ΔE_f = -360 meV/atom

Cell and atoms, written as CIF:
```
data_ThCoNi2P2
_cell_length_a 4.3395
_cell_length_b 4.3395
_cell_length_c 5.0022
_cell_angle_alpha 90.00
_cell_angle_beta 90.00
_cell_angle_gamma 90.00
_symmetry_space_group_name_H-M 'P 4/m m m'
_symmetry_Int_Tables_number 123
_symmetry_space_group_name_Hall '-P 4 2'
loop_
_atom_site_label
_atom_site_fract_x
_atom_site_fract_y
_atom_site_fract_z
_atom_site_occupancy
Th1 0.0000 0.0000 0.0000 1
Co1 0.0000 0.0000 0.5000 1
Ni1 0.5000 0.5000 0.2501 1
P1 0.0000 0.5000 0.5000 1
```

Q: The lowest ΔE_f belongs to which entry?
A: Th2CoNi3P4

Q: Look up the ΔE_f of the third one.
A: -65 meV/atom

Q: Which of these has the lowest final energy?
A: ThCo2NiP2

Q: Look up the ΔE_f of the fourth one.
A: -360 meV/atom